Record 1
! ZrPtW2 (PBEsol, optimized geometry); values from VASP
&SYSTEM
  ibrav = 0, nat = 4, ntyp = 3
/
ATOMIC_SPECIES
Zr 91.22 Zr.upf
Pt 195.08 Pt.upf
W 183.84 W.upf
CELL_PARAMETERS angstrom
2.759 0.000 0.000
0.000 4.012 0.000
0.000 0.000 6.043
ATOMIC_POSITIONS crystal
Zr 0.000 0.000 0.000
Pt 0.500 0.500 0.247
W 0.000 0.000 0.494
W 0.500 0.500 0.719
! energy of formation from the pure elements: -0.036 eV/atom
! symmetry: Pmm2, No. 25
! density: 16.23 g/cm3

Record 2
! LiFeSbO4 (PBEsol, optimized geometry); values from VASP
&SYSTEM
  ibrav = 0, nat = 14, ntyp = 4
/
ATOMIC_SPECIES
Li 6.94 Li.upf
Fe 55.84 Fe.upf
Sb 121.76 Sb.upf
O 16.00 O.upf
CELL_PARAMETERS angstrom
-2.928 3.132 4.188
2.928 -3.132 4.188
2.928 3.132 -4.188
ATOMIC_POSITIONS crystal
Li 0.377 0.127 0.250
Li 0.623 0.873 0.750
Fe 0.000 0.000 0.500
Fe 0.000 0.500 0.000
Sb 0.000 0.500 0.500
Sb 0.500 0.500 0.000
O 0.199 0.742 0.457
O 0.216 0.258 0.957
O 0.232 0.243 0.511
O 0.232 0.722 0.989
O 0.768 0.278 0.011
O 0.768 0.757 0.489
O 0.784 0.742 0.043
O 0.801 0.258 0.543
! energy: -93.05 eV for the cell shown
! symmetry: Imma, No. 74
! density: 5.37 g/cm3

Record 3
! AgHg2Rh (PBEsol, optimized geometry); values from VASP
&SYSTEM
  ibrav = 0, nat = 4, ntyp = 3
/
ATOMIC_SPECIES
Ag 107.87 Ag.upf
Hg 200.59 Hg.upf
Rh 102.91 Rh.upf
CELL_PARAMETERS angstrom
3.020 0.000 0.000
0.000 4.053 0.000
0.000 0.000 5.752
ATOMIC_POSITIONS crystal
Ag 0.000 0.000 0.000
Hg 0.000 0.000 0.529
Hg 0.500 0.500 0.234
Rh 0.500 0.500 0.743
! energy of formation from the pure elements: 0.144 eV/atom
! symmetry: Pmm2, No. 25
! density: 14.43 g/cm3

Record 4
! Ce2Zr2O7 (PBEsol, optimized geometry); values from VASP
&SYSTEM
  ibrav = 0, nat = 22, ntyp = 3
/
ATOMIC_SPECIES
Ce 140.12 Ce.upf
Zr 91.22 Zr.upf
O 16.00 O.upf
CELL_PARAMETERS angstrom
0.000 5.306 5.306
5.306 0.000 5.306
5.306 5.306 0.000
ATOMIC_POSITIONS crystal
Ce 0.000 0.000 0.000
Ce 0.000 0.000 0.500
Ce 0.000 0.500 0.000
Ce 0.500 0.000 0.000
Zr 0.000 0.500 0.500
Zr 0.500 0.000 0.500
Zr 0.500 0.500 0.000
Zr 0.500 0.500 0.500
O 0.125 0.125 0.125
O 0.162 0.162 0.588
O 0.162 0.588 0.162
O 0.162 0.588 0.588
O 0.412 0.412 0.838
O 0.412 0.838 0.412
O 0.412 0.838 0.838
O 0.588 0.162 0.162
O 0.588 0.162 0.588
O 0.588 0.588 0.162
O 0.838 0.412 0.412
O 0.838 0.412 0.838
O 0.838 0.838 0.412
O 0.875 0.875 0.875
! energy: -211.51 eV for the cell shown
! symmetry: Fd-3m, No. 227
! density: 6.39 g/cm3

Record 5
! SrZnPb (PBEsol, optimized geometry); values from VASP
&SYSTEM
  ibrav = 0, nat = 3, ntyp = 3
/
ATOMIC_SPECIES
Sr 87.62 Sr.upf
Zn 65.41 Zn.upf
Pb 207.20 Pb.upf
CELL_PARAMETERS angstrom
4.598 0.000 0.000
-2.299 3.982 0.000
0.000 0.000 4.720
ATOMIC_POSITIONS crystal
Sr 0.000 0.000 0.000
Zn 0.333 0.667 0.513
Pb 0.667 0.333 0.494
! energy of formation from the pure elements: -0.358 eV/atom
! symmetry: P3m1, No. 156
! density: 6.92 g/cm3

Record 6
! YCu2Ir (PBEsol, optimized geometry); values from VASP
&SYSTEM
  ibrav = 0, nat = 4, ntyp = 3
/
ATOMIC_SPECIES
Y 88.91 Y.upf
Cu 63.55 Cu.upf
Ir 192.22 Ir.upf
CELL_PARAMETERS angstrom
3.156 0.000 0.000
0.000 3.492 0.000
0.000 0.000 5.750
ATOMIC_POSITIONS crystal
Y 0.000 0.000 0.000
Cu 0.000 0.000 0.498
Cu 0.500 0.500 0.301
Ir 0.500 0.500 0.732
! energy of formation from the pure elements: -0.132 eV/atom
! symmetry: Pmm2, No. 25
! density: 10.70 g/cm3

Record 7
! LiVO2F2 (PBEsol, optimized geometry); values from VASP
&SYSTEM
  ibrav = 0, nat = 24, ntyp = 4
/
ATOMIC_SPECIES
Li 6.94 Li.upf
V 50.94 V.upf
O 16.00 O.upf
F 19.00 F.upf
CELL_PARAMETERS angstrom
5.971 0.000 0.000
0.000 5.962 0.000
-0.205 0.000 7.868
ATOMIC_POSITIONS crystal
Li 0.242 0.000 0.362
Li 0.250 0.508 0.129
Li 0.750 0.508 0.871
Li 0.758 0.000 0.638
V 0.234 0.720 0.731
V 0.500 0.027 0.000
V 0.500 0.507 0.500
V 0.766 0.720 0.269
O 0.036 0.545 0.771
O 0.272 0.715 0.505
O 0.473 0.526 0.732
O 0.488 0.954 0.788
O 0.512 0.954 0.212
O 0.527 0.526 0.268
O 0.728 0.715 0.495
O 0.964 0.545 0.229
F 0.058 0.975 0.713
F 0.266 0.770 0.990
F 0.282 0.230 0.013
F 0.296 0.279 0.456
F 0.704 0.279 0.544
F 0.718 0.230 0.987
F 0.734 0.770 0.010
F 0.942 0.975 0.287
! energy: -164.79 eV for the cell shown
! symmetry: P2, No. 3
! density: 3.03 g/cm3

Record 8
! SrZrMn2Cu (PBEsol, optimized geometry); values from VASP
&SYSTEM
  ibrav = 0, nat = 5, ntyp = 4
/
ATOMIC_SPECIES
Sr 87.62 Sr.upf
Zr 91.22 Zr.upf
Mn 54.94 Mn.upf
Cu 63.55 Cu.upf
CELL_PARAMETERS angstrom
4.660 0.000 0.000
0.000 4.660 0.000
0.000 0.000 5.853
ATOMIC_POSITIONS crystal
Sr 0.000 0.000 0.000
Zr 0.000 0.000 0.500
Mn 0.000 0.500 0.500
Mn 0.500 0.000 0.500
Cu 0.500 0.500 0.000
! energy of formation from the pure elements: 1.533 eV/atom
! symmetry: P4/mmm, No. 123
! density: 4.60 g/cm3

Record 9
! KCaTa2 (PBEsol, optimized geometry); values from VASP
&SYSTEM
  ibrav = 0, nat = 8, ntyp = 3
/
ATOMIC_SPECIES
K 39.10 K.upf
Ca 40.08 Ca.upf
Ta 180.95 Ta.upf
CELL_PARAMETERS angstrom
3.065 0.000 0.000
0.000 6.173 0.000
0.000 0.000 11.609
ATOMIC_POSITIONS crystal
K 0.000 0.000 0.000
K 0.500 0.500 0.500
Ca 0.000 0.500 0.211
Ca 0.500 0.000 0.711
Ta 0.000 0.000 0.447
Ta 0.000 0.500 0.771
Ta 0.500 0.000 0.271
Ta 0.500 0.500 0.947
! energy of formation from the pure elements: 1.138 eV/atom
! symmetry: Imm2, No. 44
! density: 6.67 g/cm3

Record 10
! MgAsW3 (PBEsol, optimized geometry); values from VASP
&SYSTEM
  ibrav = 0, nat = 5, ntyp = 3
/
ATOMIC_SPECIES
Mg 24.30 Mg.upf
As 74.92 As.upf
W 183.84 W.upf
CELL_PARAMETERS angstrom
4.550 0.000 0.000
0.000 4.550 0.000
0.000 0.000 4.550
ATOMIC_POSITIONS crystal
Mg 0.000 0.000 0.000
As 0.500 0.500 0.500
W 0.000 0.000 0.500
W 0.000 0.500 0.000
W 0.500 0.000 0.000
! energy of formation from the pure elements: 2.767 eV/atom
! symmetry: Pm-3m, No. 221
! density: 11.47 g/cm3

Record 11
! Ba2AlBr (PBEsol, optimized geometry); values from VASP
&SYSTEM
  ibrav = 0, nat = 8, ntyp = 3
/
ATOMIC_SPECIES
Ba 137.33 Ba.upf
Al 26.98 Al.upf
Br 79.90 Br.upf
CELL_PARAMETERS angstrom
4.083 0.000 0.000
0.000 4.280 0.000
0.000 0.000 17.698
ATOMIC_POSITIONS crystal
Ba 0.000 0.000 0.000
Ba 0.000 0.500 0.255
Ba 0.500 0.000 0.755
Ba 0.500 0.500 0.500
Al 0.000 0.000 0.405
Al 0.500 0.500 0.905
Br 0.000 0.500 0.661
Br 0.500 0.000 0.161
! energy: -26.08 eV for the cell shown
! symmetry: Imm2, No. 44
! density: 4.10 g/cm3

Record 12
! KCd6P7O24 (PBEsol, optimized geometry); values from VASP
&SYSTEM
  ibrav = 0, nat = 76, ntyp = 4
/
ATOMIC_SPECIES
K 39.10 K.upf
Cd 112.41 Cd.upf
P 30.97 P.upf
O 16.00 O.upf
CELL_PARAMETERS angstrom
5.517 0.000 0.000
0.000 27.173 0.000
-2.009 0.000 6.497
ATOMIC_POSITIONS crystal
K 0.213 0.250 0.128
K 0.787 0.750 0.872
Cd 0.283 0.099 0.420
Cd 0.283 0.401 0.420
Cd 0.319 0.543 0.813
Cd 0.319 0.957 0.813
Cd 0.392 0.683 0.207
Cd 0.392 0.817 0.207
Cd 0.608 0.183 0.793
Cd 0.608 0.317 0.793
Cd 0.681 0.043 0.187
Cd 0.681 0.457 0.187
Cd 0.717 0.599 0.580
Cd 0.717 0.901 0.580
P 0.026 0.250 0.602
P 0.173 0.110 0.894
P 0.173 0.390 0.894
P 0.213 0.525 0.291
P 0.213 0.975 0.291
P 0.259 0.669 0.679
P 0.259 0.831 0.679
P 0.741 0.169 0.321
P 0.741 0.331 0.321
P 0.787 0.025 0.709
P 0.787 0.475 0.709
P 0.827 0.610 0.106
P 0.827 0.890 0.106
P 0.974 0.750 0.398
O 0.010 0.650 0.096
O 0.010 0.850 0.096
O 0.017 0.704 0.547
O 0.017 0.796 0.547
O 0.029 0.059 0.811
O 0.029 0.441 0.811
O 0.089 0.024 0.324
O 0.089 0.476 0.324
O 0.125 0.621 0.695
O 0.125 0.879 0.695
O 0.158 0.750 0.271
O 0.306 0.250 0.722
O 0.329 0.121 0.744
O 0.329 0.379 0.744
O 0.352 0.096 0.107
O 0.352 0.404 0.107
O 0.367 0.549 0.492
O 0.367 0.951 0.492
O 0.369 0.520 0.139
O 0.369 0.980 0.139
O 0.373 0.696 0.880
O 0.373 0.804 0.880
O 0.444 0.667 0.549
O 0.444 0.833 0.549
O 0.556 0.167 0.451
O 0.556 0.333 0.451
O 0.627 0.196 0.120
O 0.627 0.304 0.120
O 0.631 0.020 0.861
O 0.631 0.480 0.861
O 0.633 0.049 0.508
O 0.633 0.451 0.508
O 0.648 0.596 0.893
O 0.648 0.904 0.893
O 0.671 0.621 0.256
O 0.671 0.879 0.256
O 0.694 0.750 0.278
O 0.842 0.250 0.729
O 0.875 0.121 0.305
O 0.875 0.379 0.305
O 0.911 0.524 0.676
O 0.911 0.976 0.676
O 0.971 0.559 0.189
O 0.971 0.941 0.189
O 0.983 0.204 0.453
O 0.983 0.296 0.453
O 0.990 0.150 0.904
O 0.990 0.350 0.904
! energy: -499.17 eV for the cell shown
! symmetry: P2_1/m, No. 11
! density: 4.48 g/cm3

Record 13
! Li4YAl (PBEsol, optimized geometry); values from VASP
&SYSTEM
  ibrav = 0, nat = 6, ntyp = 3
/
ATOMIC_SPECIES
Li 6.94 Li.upf
Y 88.91 Y.upf
Al 26.98 Al.upf
CELL_PARAMETERS angstrom
0.000 3.794 3.794
3.794 0.000 3.794
3.794 3.794 0.000
ATOMIC_POSITIONS crystal
Li 0.124 0.124 0.124
Li 0.124 0.124 0.629
Li 0.124 0.629 0.124
Li 0.629 0.124 0.124
Y 0.500 0.500 0.500
Al 0.750 0.750 0.750
! energy of formation from the pure elements: -0.044 eV/atom
! symmetry: F-43m, No. 216
! density: 2.18 g/cm3

Record 14
! CdTeRhN2 (PBEsol, optimized geometry); values from VASP
&SYSTEM
  ibrav = 0, nat = 5, ntyp = 4
/
ATOMIC_SPECIES
Cd 112.41 Cd.upf
Te 127.60 Te.upf
Rh 102.91 Rh.upf
N 14.01 N.upf
CELL_PARAMETERS angstrom
4.015 0.000 0.000
0.000 4.015 0.000
0.000 0.000 6.040
ATOMIC_POSITIONS crystal
Cd 0.000 0.000 0.000
Te 0.000 0.000 0.500
Rh 0.500 0.500 0.500
N 0.000 0.500 0.000
N 0.500 0.000 0.000
! energy: -20.05 eV for the cell shown
! symmetry: P4/mmm, No. 123
! density: 6.33 g/cm3

Record 15
! TaSiTc2 (PBEsol, optimized geometry); values from VASP
&SYSTEM
  ibrav = 0, nat = 4, ntyp = 3
/
ATOMIC_SPECIES
Ta 180.95 Ta.upf
Si 28.09 Si.upf
Tc 98.00 Tc.upf
CELL_PARAMETERS angstrom
3.094 0.000 0.000
0.000 3.094 0.000
0.000 0.000 5.967
ATOMIC_POSITIONS crystal
Ta 0.000 0.000 0.000
Si 0.000 0.000 0.500
Tc 0.500 0.500 0.265
Tc 0.500 0.500 0.735
! energy: -42.73 eV for the cell shown
! symmetry: P4/mmm, No. 123
! density: 11.78 g/cm3

Record 16
! GeC3Cl (PBEsol, optimized geometry); values from VASP
&SYSTEM
  ibrav = 0, nat = 5, ntyp = 3
/
ATOMIC_SPECIES
Ge 72.64 Ge.upf
C 12.01 C.upf
Cl 35.45 Cl.upf
CELL_PARAMETERS angstrom
4.008 0.000 0.000
0.000 4.008 0.000
0.000 0.000 4.008
ATOMIC_POSITIONS crystal
Ge 0.000 0.000 0.000
C 0.000 0.000 0.500
C 0.000 0.500 0.000
C 0.500 0.000 0.000
Cl 0.500 0.500 0.500
! energy: -21.54 eV for the cell shown
! symmetry: Pm-3m, No. 221
! density: 3.72 g/cm3

Record 17
! SiNi2Pb (PBEsol, optimized geometry); values from VASP
&SYSTEM
  ibrav = 0, nat = 8, ntyp = 3
/
ATOMIC_SPECIES
Si 28.09 Si.upf
Ni 58.69 Ni.upf
Pb 207.20 Pb.upf
CELL_PARAMETERS angstrom
6.574 0.000 0.000
0.000 3.795 0.000
-2.180 0.000 5.086
ATOMIC_POSITIONS crystal
Si 0.000 0.000 0.000
Si 0.500 0.500 0.000
Ni 0.207 0.500 0.122
Ni 0.293 0.000 0.878
Ni 0.707 0.000 0.122
Ni 0.793 0.500 0.878
Pb 0.000 0.500 0.500
Pb 0.500 0.000 0.500
! energy: -45.36 eV for the cell shown
! symmetry: C2/m, No. 12
! density: 9.23 g/cm3

Record 18
! MgMnPS2 (PBEsol, optimized geometry); values from VASP
&SYSTEM
  ibrav = 0, nat = 5, ntyp = 4
/
ATOMIC_SPECIES
Mg 24.30 Mg.upf
Mn 54.94 Mn.upf
P 30.97 P.upf
S 32.06 S.upf
CELL_PARAMETERS angstrom
4.642 0.000 0.000
0.000 4.642 0.000
0.000 0.000 4.244
ATOMIC_POSITIONS crystal
Mg 0.000 0.000 0.000
Mn 0.500 0.500 0.500
P 0.500 0.500 0.000
S 0.000 0.500 0.500
S 0.500 0.000 0.500
! energy: -26.23 eV for the cell shown
! symmetry: P4/mmm, No. 123
! density: 3.17 g/cm3

Record 19
! Li3HgPb (PBEsol, optimized geometry); values from VASP
&SYSTEM
  ibrav = 0, nat = 5, ntyp = 3
/
ATOMIC_SPECIES
Li 6.94 Li.upf
Hg 200.59 Hg.upf
Pb 207.20 Pb.upf
CELL_PARAMETERS angstrom
4.876 0.000 0.000
0.000 4.876 0.000
0.000 0.000 4.876
ATOMIC_POSITIONS crystal
Li 0.000 0.000 0.500
Li 0.000 0.500 0.000
Li 0.500 0.000 0.000
Hg 0.000 0.000 0.000
Pb 0.500 0.500 0.500
! energy of formation from the pure elements: -0.044 eV/atom
! symmetry: Pm-3m, No. 221
! density: 6.14 g/cm3

Record 20
! TcTeO2F (PBEsol, optimized geometry); values from VASP
&SYSTEM
  ibrav = 0, nat = 5, ntyp = 4
/
ATOMIC_SPECIES
Tc 98.00 Tc.upf
Te 127.60 Te.upf
O 16.00 O.upf
F 19.00 F.upf
CELL_PARAMETERS angstrom
3.654 0.000 0.000
0.000 3.654 0.000
0.000 0.000 6.341
ATOMIC_POSITIONS crystal
Tc 0.000 0.000 0.000
Te 0.500 0.500 0.500
O 0.000 0.500 0.000
O 0.500 0.000 0.000
F 0.000 0.000 0.500
! energy: -30.79 eV for the cell shown
! symmetry: P4/mmm, No. 123
! density: 5.43 g/cm3